Record 1
# InCo3Re | Alexandria | PBE | relaxed
# Excess energy over the best structure of this formula in the dataset = 889.1 meV per atom
# Calculated volume = 18.19 Å³/atom
# Formation energy from the elements = 2154 meV per atom
data_InCo3Re
_space_group_name_H-M_alt 'P m -3 m'
_space_group_IT_number 221
_space_group_name_Hall '-P 4 2 3'
_cell_length_a 4.497
_cell_length_b 4.497
_cell_length_c 4.497
_cell_angle_alpha 90.00
_cell_angle_beta 90.00
_cell_angle_gamma 90.00
loop_
_atom_site_label
_atom_site_type_symbol
_atom_site_fract_x
_atom_site_fract_y
_atom_site_fract_z
In1 In 0.000 0.000 0.000
Co1 Co 0.000 0.000 0.500
Re1 Re 0.500 0.500 0.500

***

Record 2
# LaIn2BiIr | Alexandria | PBE | relaxed
# Calculated volume = 29.57 Å³/atom
# Formation energy from the elements = -456 meV per atom
data_LaIn2BiIr
_space_group_name_H-M_alt 'P 4/m m m'
_space_group_IT_number 123
_space_group_name_Hall '-P 4 2'
_cell_length_a 5.196
_cell_length_b 5.196
_cell_length_c 5.477
_cell_angle_alpha 90.00
_cell_angle_beta 90.00
_cell_angle_gamma 90.00
loop_
_atom_site_label
_atom_site_type_symbol
_atom_site_fract_x
_atom_site_fract_y
_atom_site_fract_z
La1 La 0.000 0.000 0.000
In1 In 0.000 0.500 0.500
Bi1 Bi 0.500 0.500 0.000
Ir1 Ir 0.000 0.000 0.500

***

Record 3
# Tm2ThTcC4 | Alexandria | PBE | relaxed
# Calculated volume = 15.71 Å³/atom
# Formation energy from the elements = -149 meV per atom
data_Tm2ThTcC4
_space_group_name_H-M_alt 'C m c m'
_space_group_IT_number 63
_space_group_name_Hall '-C 2c 2'
_cell_length_a 3.491
_cell_length_b 12.046
_cell_length_c 11.954
_cell_angle_alpha 90.00
_cell_angle_beta 90.00
_cell_angle_gamma 90.00
loop_
_atom_site_label
_atom_site_type_symbol
_atom_site_fract_x
_atom_site_fract_y
_atom_site_fract_z
Tm1 Tm 0.000 0.128 0.041
Th1 Th 0.000 0.408 0.250
Tc1 Tc 0.000 0.331 0.750
C1 C 0.000 0.077 0.250
C2 C 0.000 0.232 0.629
C3 C 0.000 0.500 0.000